1.
First-principles (PBE) data for Tb2Pm2Sm after structural relaxation, as listed in Alexandria via LeMat-Bulk.

Summary:
N(E_F) = 6.472 states/eV/f.u.
Electronic total energy = -23.40 eV per cell
Energy above the most stable polymorph in this dataset = 0.0 meV per atom
Formation energy = 0.0162 eV/atom

abc: 3.6207 3.6185 15.1085
angles: 96.83 83.12 59.98
Fractional coordinates of all 5 atoms:
Tb (0.6356, 0.0302, 0.6987)
Tb (0.3644, 0.9698, 0.3013)
Pm (0.2296, 0.4387, 0.1022)
Pm (0.7704, 0.5613, 0.8978)
Sm (0.5000, 0.5000, 0.5000)


2.
First-principles (PBE) data for KTa2MnW after structural relaxation, as listed in Alexandria via LeMat-Bulk.

Summary:
N(E_F) = 4.629 states/eV/f.u.
Electronic total energy = -29.59 eV per cell
Formation energy = 3.4666 eV/atom

abc: 4.5196 4.4686 4.5196
angles: 90.00 90.00 90.00
Fractional coordinates of all 5 atoms:
K (0.0000, 0.0000, 0.0000)
Mn (0.5000, 0.5000, 0.5000)
W (0.0000, 0.5000, 0.0000)
Ta (0.0000, 0.0000, 0.5000)
Ta (0.5000, 0.0000, 0.0000)